Here is crystalline Tb5Dy4Tm at its relaxed geometry from Alexandria via LeMat-Bulk. Energies are from PBE-GGA.

Summary:
The relative energy among the computed polymorphs is 205 meV/atom. Its space-group type is I4mm (107). The value obtained for the formation energy is 0.26 eV/atom.

Cell: 8.004 8.004 8.004 Å, 97.73 97.73 136.97°
Element x y z (fractional)
Tb (0.000, 0.000, 0.000)
Tb (0.076, 0.076, 0.622)
Tb (0.076, 0.454, 0.000)
Tb (0.454, 0.076, 0.000)
Tb (0.454, 0.454, 0.378)
Dy (0.085, 0.761, 0.324)
Dy (0.437, 0.761, 0.676)
Dy (0.761, 0.085, 0.324)
Dy (0.761, 0.437, 0.676)
Tm (0.528, 0.528, 0.000)